P | This record from Alexandria via LeMat-Bulk describes crystalline In2CuIr2 at its relaxed geometry. The functional is PBE-GGA. Values from VASP.

```
&SYSTEM
  ibrav = 0, nat = 10, ntyp = 3
/
ATOMIC_SPECIES
In 114.82 In.upf
Cu 63.55 Cu.upf
Ir 192.22 Ir.upf
CELL_PARAMETERS angstrom
7.6569 0.0000 0.0000
0.0000 7.6569 0.0000
0.0000 0.0000 3.0709
ATOMIC_POSITIONS angstrom
In 1.1646 2.6639 0.0000
In 2.6639 6.4923 0.0000
In 4.9931 1.1646 0.0000
In 6.4923 4.9931 0.0000
Cu 0.0000 0.0000 0.0000
Cu 3.8285 3.8285 0.0000
Ir 1.1203 4.9487 1.5355
Ir 2.7082 1.1203 1.5355
Ir 4.9487 6.5367 1.5355
Ir 6.5367 2.7082 1.5355
```

Calculated values
Density of states at the Fermi level   3.00 states/eV per cell
V   18.00 Å³ per atom



Q | This record from Alexandria via LeMat-Bulk describes crystalline In2CuIr2 at its relaxed geometry. The functional is PBE-GGA. Values from VASP.

```
&SYSTEM
  ibrav = 0, nat = 10, ntyp = 3
/
ATOMIC_SPECIES
In 114.82 In.upf
Cu 63.55 Cu.upf
Ir 192.22 Ir.upf
CELL_PARAMETERS angstrom
7.4623 0.0000 0.0000
0.0000 7.4623 0.0000
0.0000 0.0000 3.2104
ATOMIC_POSITIONS angstrom
In 1.2199 2.5113 0.0000
In 2.5113 6.2424 0.0000
In 4.9510 1.2199 0.0000
In 6.2424 4.9510 0.0000
Cu 0.0000 0.0000 1.6052
Cu 3.7311 3.7311 1.6052
Ir 1.0194 4.7506 1.6052
Ir 2.7117 1.0194 1.6052
Ir 4.7506 6.4429 1.6052
Ir 6.4429 2.7117 1.6052
```

Calculated values
Density of states at the Fermi level   4.13 states/eV per cell
V   17.88 Å³ per atom



Stability, highest: Q



P | This record from Alexandria via LeMat-Bulk describes crystalline KInCu3 at its relaxed geometry. The functional is PBE-GGA. Values from VASP.

```
&SYSTEM
  ibrav = 0, nat = 5, ntyp = 3
/
ATOMIC_SPECIES
K 39.10 K.upf
In 114.82 In.upf
Cu 63.55 Cu.upf
CELL_PARAMETERS angstrom
5.2448 0.0000 0.0000
0.0000 5.2448 0.0000
0.0000 0.0000 5.2448
ATOMIC_POSITIONS angstrom
K 0.0000 0.0000 0.0000
In 2.6224 2.6224 2.6224
Cu 0.0000 0.0000 2.6224
Cu 0.0000 2.6224 0.0000
Cu 2.6224 0.0000 0.0000
```

Calculated values
Density of states at the Fermi level   6.45 states/eV per cell
V   28.86 Å³ per atom



Q | This record from Alexandria via LeMat-Bulk describes crystalline KInCu3 at its relaxed geometry. The functional is PBE-GGA. Values from VASP.

```
&SYSTEM
  ibrav = 0, nat = 5, ntyp = 3
/
ATOMIC_SPECIES
K 39.10 K.upf
In 114.82 In.upf
Cu 63.55 Cu.upf
CELL_PARAMETERS angstrom
5.0421 0.0000 0.0000
0.0000 5.0421 0.0000
0.0000 0.0000 5.0421
ATOMIC_POSITIONS angstrom
K 0.0000 0.0000 0.0000
In 2.5210 2.5210 2.5210
Cu 0.0000 2.5210 2.5210
Cu 2.5210 0.0000 2.5210
Cu 2.5210 2.5210 0.0000
```

Calculated values
Density of states at the Fermi level   1.77 states/eV per cell
V   25.64 Å³ per atom



Stability, highest: Q